Entry 1:
# PBE Co2MoS4, relaxed
data_Co2MoS4
_cell_length_a 5.053
_cell_length_b 5.053
_cell_length_c 10.245
_cell_angle_alpha 90.00
_cell_angle_beta 90.00
_cell_angle_gamma 90.00
_symmetry_space_group_name_H-M 'I -4'
_symmetry_Int_Tables_number 82
_symmetry_space_group_name_Hall 'I -4'
loop_
_atom_site_label
_atom_site_type_symbol
_atom_site_fract_x
_atom_site_fract_y
_atom_site_fract_z
Co1 Co 0.000 0.000 0.000
Co2 Co 0.000 0.500 0.250
Mo1 Mo 0.000 0.000 0.500
S1 S 0.235 0.754 0.128
# - energy above the most stable polymorph in this dataset (meV per atom) = 0
# - N(E_F) (states/eV/atom) = 0.85
# - uncorrected formation energy (meV per atom) = -298

=====

Entry 2:
# PBE Cs5Tl3Cl12, relaxed
data_Cs5Tl3Cl12
_cell_length_a 19.555
_cell_length_b 19.555
_cell_length_c 19.555
_cell_angle_alpha 90.00
_cell_angle_beta 90.00
_cell_angle_gamma 90.00
_symmetry_space_group_name_H-M 'I a -3 d'
_symmetry_Int_Tables_number 230
_symmetry_space_group_name_Hall '-I 4bd 2c 3'
loop_
_atom_site_label
_atom_site_type_symbol
_atom_site_fract_x
_atom_site_fract_y
_atom_site_fract_z
Cs1 Cs 0.000 0.000 0.000
Cs2 Cs 0.000 0.250 0.375
Tl1 Tl 0.000 0.250 0.125
Cl1 Cl 0.030 0.047 0.335
# - N(E_F) (states/eV/atom) = 0.61
# - uncorrected formation energy (meV per atom) = -1287

=====

Entry 3:
# PBE MgTcOs2, relaxed
data_MgTcOs2
_cell_length_a 2.902
_cell_length_b 4.591
_cell_length_c 9.063
_cell_angle_alpha 90.00
_cell_angle_beta 90.00
_cell_angle_gamma 90.00
_symmetry_space_group_name_H-M 'C m m m'
_symmetry_Int_Tables_number 65
_symmetry_space_group_name_Hall '-C 2 2'
loop_
_atom_site_label
_atom_site_type_symbol
_atom_site_fract_x
_atom_site_fract_y
_atom_site_fract_z
Mg1 Mg 0.000 0.000 0.000
Tc1 Tc 0.000 0.000 0.500
Os1 Os 0.000 0.500 0.256
# - energy of formation (meV/atom) = 370
# - N(E_F) (states/eV/atom) = 0.92

=====

Entry 4:
# PBE AcYN2, relaxed
data_AcYN2
_cell_length_a 3.6822
_cell_length_b 3.6822
_cell_length_c 18.2813
_cell_angle_alpha 90.00
_cell_angle_beta 90.00
_cell_angle_gamma 120.00
_symmetry_space_group_name_H-M 'R -3 m'
_symmetry_Int_Tables_number 166
_symmetry_space_group_name_Hall '-R 3 2"'
loop_
_atom_site_label
_atom_site_type_symbol
_atom_site_fract_x
_atom_site_fract_y
_atom_site_fract_z
Ac1 Ac 0.0000 0.0000 0.0000
Y1 Y 0.0000 0.0000 0.5000
N1 N 0.0000 0.0000 0.2425
# - energy above the most stable polymorph in this dataset (meV per atom) = 0
# - N(E_F) (states/eV/atom) = 0.02
# - uncorrected formation energy (meV per atom) = -1287

=====

Entry 5:
# PBE V3BiAs, relaxed
data_V3BiAs
_cell_length_a 5.153
_cell_length_b 5.153
_cell_length_c 5.153
_cell_angle_alpha 90.00
_cell_angle_beta 90.00
_cell_angle_gamma 90.00
_symmetry_space_group_name_H-M 'P m -3 m'
_symmetry_Int_Tables_number 221
_symmetry_space_group_name_Hall '-P 4 2 3'
loop_
_atom_site_label
_atom_site_type_symbol
_atom_site_fract_x
_atom_site_fract_y
_atom_site_fract_z
V1 V 0.000 0.000 0.500
Bi1 Bi 0.000 0.000 0.000
As1 As 0.500 0.500 0.500
# - energy above the most stable polymorph in this dataset (meV per atom) = 999
# - energy of formation (meV/atom) = 1494
# - N(E_F) (states/eV/atom) = 1.41

=====

Entry 6:
# PBE LaY2Cd5, relaxed
data_LaY2Cd5
_cell_length_a 5.266
_cell_length_b 5.266
_cell_length_c 15.025
_cell_angle_alpha 90.00
_cell_angle_beta 90.00
_cell_angle_gamma 90.00
_symmetry_space_group_name_H-M 'I 4/m m m'
_symmetry_Int_Tables_number 139
_symmetry_space_group_name_Hall '-I 4 2'
loop_
_atom_site_label
_atom_site_type_symbol
_atom_site_fract_x
_atom_site_fract_y
_atom_site_fract_z
La1 La 0.000 0.000 0.000
Y1 Y 0.000 0.000 0.265
Cd1 Cd 0.000 0.000 0.500
Cd2 Cd 0.000 0.500 0.126
# - energy of formation (meV/atom) = -333
# - N(E_F) (states/eV/atom) = 0.52

=====

Entry 7:
# PBE Te2NCl, relaxed
data_Te2NCl
_cell_length_a 3.3441
_cell_length_b 3.3441
_cell_length_c 26.0391
_cell_angle_alpha 90.00
_cell_angle_beta 90.00
_cell_angle_gamma 120.00
_symmetry_space_group_name_H-M 'R -3 m'
_symmetry_Int_Tables_number 166
_symmetry_space_group_name_Hall '-R 3 2"'
loop_
_atom_site_label
_atom_site_type_symbol
_atom_site_fract_x
_atom_site_fract_y
_atom_site_fract_z
Te1 Te 0.0000 0.0000 0.1040
N1 N 0.0000 0.0000 0.5000
Cl1 Cl 0.0000 0.0000 0.0000
# - energy above the most stable polymorph in this dataset (meV per atom) = 231
# - N(E_F) (states/eV/atom) = 0.42
# - uncorrected formation energy (meV per atom) = 712

=====

Entry 8:
# PBE La2Dy7Sc, relaxed
data_La2Dy7Sc
_cell_length_a 6.558
_cell_length_b 28.724
_cell_length_c 3.459
_cell_angle_alpha 90.00
_cell_angle_beta 90.00
_cell_angle_gamma 90.00
_symmetry_space_group_name_H-M 'C m m m'
_symmetry_Int_Tables_number 65
_symmetry_space_group_name_Hall '-C 2 2'
loop_
_atom_site_label
_atom_site_type_symbol
_atom_site_fract_x
_atom_site_fract_y
_atom_site_fract_z
La1 La 0.000 0.205 0.000
Dy1 Dy 0.000 0.000 0.000
Dy2 Dy 0.000 0.317 0.500
Dy3 Dy 0.242 0.405 0.000
Sc1 Sc 0.000 0.500 0.500
# - energy of formation (meV/atom) = 174
# - N(E_F) (states/eV/atom) = 1.70

=====

Entry 9:
# PBE SrNbTe, relaxed
data_SrNbTe
_cell_length_a 4.207
_cell_length_b 4.207
_cell_length_c 10.077
_cell_angle_alpha 90.00
_cell_angle_beta 90.00
_cell_angle_gamma 90.00
_symmetry_space_group_name_H-M 'P 4/n m m'
_symmetry_Int_Tables_number 129
loop_
_symmetry_equiv_pos_as_xyz
'x,y,z'
'-x,-y,-z'
'-y+1/2,x,z'
'y+1/2,-x,-z'
'-x+1/2,-y+1/2,z'
'x+1/2,y+1/2,-z'
'y,-x+1/2,z'
'-y,x+1/2,-z'
'x+1/2,-y,-z'
'-x+1/2,y,z'
'-y,-x,-z'
'y,x,z'
'-x,y+1/2,-z'
'x,-y+1/2,z'
'y+1/2,x+1/2,-z'
'-y+1/2,-x+1/2,z'
loop_
_atom_site_label
_atom_site_type_symbol
_atom_site_fract_x
_atom_site_fract_y
_atom_site_fract_z
Sr1 Sr 0.250 0.250 0.161
Nb1 Nb 0.250 0.750 0.500
Te1 Te 0.250 0.250 0.693
# - N(E_F) (states/eV/atom) = 0.97
# - uncorrected formation energy (meV per atom) = -487

=====

Entry 10:
# PBE KIn4Hg6, relaxed
data_KIn4Hg6
_cell_length_a 8.5971
_cell_length_b 8.5971
_cell_length_c 4.9261
_cell_angle_alpha 90.00
_cell_angle_beta 90.00
_cell_angle_gamma 120.00
_symmetry_space_group_name_H-M 'P -6'
_symmetry_Int_Tables_number 174
_symmetry_space_group_name_Hall 'P -6'
loop_
_atom_site_label
_atom_site_type_symbol
_atom_site_fract_x
_atom_site_fract_y
_atom_site_fract_z
K1 K 0.0000 0.0000 0.0000
In1 In 0.1748 0.7602 0.5000
In2 In 0.6667 0.3333 0.0000
Hg1 Hg 0.0729 0.5057 0.0000
Hg2 Hg 0.3836 0.1671 0.5000
# - energy above the most stable polymorph in this dataset (meV per atom) = 0
# - energy of formation (meV/atom) = -73
# - N(E_F) (states/eV/atom) = 0.40